# 1
# Tb2PdO4 | the Open Quantum Materials Database | PBE-GGA | relaxed
data_Tb2PdO4
_space_group_name_H-M_alt 'P 1'
_space_group_IT_number 1
_cell_length_a 5.568
_cell_length_b 5.593
_cell_length_c 11.928
_cell_angle_alpha 90.00
_cell_angle_beta 90.00
_cell_angle_gamma 90.00
loop_
_space_group_symop_operation_xyz
'x,y,z'
loop_
_atom_site_label
_atom_site_type_symbol
_atom_site_fract_x
_atom_site_fract_y
_atom_site_fract_z
Tb1 Tb 0.009 0.038 0.158
Tb2 Tb 0.009 0.462 0.658
Tb3 Tb 0.491 0.538 0.158
Tb4 Tb 0.491 0.962 0.658
Tb5 Tb 0.509 0.038 0.342
Tb6 Tb 0.509 0.462 0.842
Tb7 Tb 0.991 0.538 0.342
Tb8 Tb 0.991 0.962 0.842
Pd1 Pd 0.000 0.000 0.500
Pd2 Pd 0.000 0.500 0.000
Pd3 Pd 0.500 0.000 0.000
Pd4 Pd 0.500 0.500 0.500
O1 O 0.180 0.681 0.510
O2 O 0.180 0.819 0.010
O3 O 0.241 0.211 0.756
O4 O 0.241 0.289 0.256
O5 O 0.259 0.711 0.756
O6 O 0.259 0.789 0.256
O7 O 0.320 0.181 0.510
O8 O 0.320 0.319 0.010
O9 O 0.680 0.681 0.990
O10 O 0.680 0.819 0.490
O11 O 0.741 0.211 0.744
O12 O 0.741 0.289 0.244
O13 O 0.759 0.711 0.744
O14 O 0.759 0.789 0.244
O15 O 0.820 0.181 0.990
O16 O 0.820 0.319 0.490
# Crystal system: orthorhombic
# ΔE to the lowest computed polymorph (eV/atom): 0.000

***

# 2
# TbPdO3 | the Open Quantum Materials Database | PBE-GGA | relaxed
data_TbPdO3
_space_group_name_H-M_alt 'P 1'
_space_group_IT_number 1
_cell_length_a 5.895
_cell_length_b 7.543
_cell_length_c 5.400
_cell_angle_alpha 90.00
_cell_angle_beta 90.00
_cell_angle_gamma 90.00
loop_
_space_group_symop_operation_xyz
'x,y,z'
loop_
_atom_site_label
_atom_site_type_symbol
_atom_site_fract_x
_atom_site_fract_y
_atom_site_fract_z
Tb1 Tb 0.085 0.250 0.029
Tb2 Tb 0.415 0.750 0.529
Tb3 Tb 0.585 0.250 0.471
Tb4 Tb 0.915 0.750 0.971
Pd1 Pd 0.000 0.000 0.500
Pd2 Pd 0.000 0.500 0.500
Pd3 Pd 0.500 0.000 0.000
Pd4 Pd 0.500 0.500 0.000
O1 O 0.056 0.750 0.362
O2 O 0.189 0.560 0.820
O3 O 0.189 0.940 0.820
O4 O 0.311 0.060 0.320
O5 O 0.311 0.440 0.320
O6 O 0.444 0.250 0.862
O7 O 0.556 0.750 0.138
O8 O 0.689 0.560 0.680
O9 O 0.689 0.940 0.680
O10 O 0.811 0.060 0.180
O11 O 0.811 0.440 0.180
O12 O 0.944 0.250 0.638
# DFT total energy (eV per atom): -6.88
# Crystal system: orthorhombic

***

# 3
# TbPdO3 | the Open Quantum Materials Database | PBE-GGA | relaxed
data_TbPdO3
_space_group_name_H-M_alt 'P 1'
_space_group_IT_number 1
_cell_length_a 3.897
_cell_length_b 3.897
_cell_length_c 4.257
_cell_angle_alpha 90.00
_cell_angle_beta 90.00
_cell_angle_gamma 90.00
loop_
_space_group_symop_operation_xyz
'x,y,z'
loop_
_atom_site_label
_atom_site_type_symbol
_atom_site_fract_x
_atom_site_fract_y
_atom_site_fract_z
Tb1 Tb 0.000 0.000 0.000
Pd1 Pd 0.500 0.500 0.607
O1 O 0.000 0.500 0.692
O2 O 0.500 0.000 0.692
O3 O 0.500 0.500 0.115
# DFT total energy (eV per atom): -6.57
# Crystal system: tetragonal

***

# 4
# TbPdO3 | the Open Quantum Materials Database | PBE-GGA | relaxed
data_TbPdO3
_space_group_name_H-M_alt 'P 1'
_space_group_IT_number 1
_cell_length_a 5.761
_cell_length_b 5.761
_cell_length_c 5.761
_cell_angle_alpha 58.60
_cell_angle_beta 58.60
_cell_angle_gamma 58.60
loop_
_space_group_symop_operation_xyz
'x,y,z'
loop_
_atom_site_label
_atom_site_type_symbol
_atom_site_fract_x
_atom_site_fract_y
_atom_site_fract_z
Tb1 Tb 0.134 0.134 0.134
Tb2 Tb 0.866 0.866 0.866
Pd1 Pd 0.346 0.346 0.346
Pd2 Pd 0.654 0.654 0.654
O1 O 0.051 0.727 0.461
O2 O 0.273 0.539 0.949
O3 O 0.461 0.051 0.727
O4 O 0.539 0.949 0.273
O5 O 0.727 0.461 0.051
O6 O 0.949 0.273 0.539
# DFT total energy (eV per atom): -6.69
# Crystal system: trigonal

***

# 5
# Tb2PdO4 | the Open Quantum Materials Database | PBE-GGA | relaxed
data_Tb2PdO4
_space_group_name_H-M_alt 'P 1'
_space_group_IT_number 1
_cell_length_a 6.733
_cell_length_b 6.733
_cell_length_c 6.733
_cell_angle_alpha 60.00
_cell_angle_beta 60.00
_cell_angle_gamma 60.00
loop_
_space_group_symop_operation_xyz
'x,y,z'
loop_
_atom_site_label
_atom_site_type_symbol
_atom_site_fract_x
_atom_site_fract_y
_atom_site_fract_z
Tb1 Tb 0.000 0.000 0.000
Tb2 Tb 0.000 0.000 0.500
Tb3 Tb 0.000 0.500 0.000
Tb4 Tb 0.500 0.000 0.000
Pd1 Pd 0.375 0.375 0.375
Pd2 Pd 0.625 0.625 0.625
O1 O 0.217 0.761 0.761
O2 O 0.239 0.239 0.239
O3 O 0.239 0.239 0.783
O4 O 0.239 0.783 0.239
O5 O 0.761 0.217 0.761
O6 O 0.761 0.761 0.217
O7 O 0.761 0.761 0.761
O8 O 0.783 0.239 0.239
# Crystal system: cubic
# ΔE to the lowest computed polymorph (eV/atom): 0.384

***

# 6
# TcPdO3 | the Open Quantum Materials Database | PBE-GGA | relaxed
data_TcPdO3
_space_group_name_H-M_alt 'P 1'
_space_group_IT_number 1
_cell_length_a 4.371
_cell_length_b 5.818
_cell_length_c 5.455
_cell_angle_alpha 90.00
_cell_angle_beta 98.89
_cell_angle_gamma 90.00
loop_
_space_group_symop_operation_xyz
'x,y,z'
loop_
_atom_site_label
_atom_site_type_symbol
_atom_site_fract_x
_atom_site_fract_y
_atom_site_fract_z
Tc1 Tc 0.071 0.250 0.418
Tc2 Tc 0.929 0.750 0.582
Pd1 Pd 0.500 0.000 0.000
Pd2 Pd 0.500 0.500 0.000
O1 O 0.225 0.006 0.654
O2 O 0.225 0.494 0.654
O3 O 0.243 0.250 0.141
O4 O 0.757 0.750 0.859
O5 O 0.775 0.506 0.346
O6 O 0.775 0.994 0.346
# DFT total energy (eV per atom): -6.90
# Crystal system: monoclinic

***

# 7
# TcPdO3 | the Open Quantum Materials Database | PBE-GGA | relaxed
data_TcPdO3
_space_group_name_H-M_alt 'P 1'
_space_group_IT_number 1
_cell_length_a 5.739
_cell_length_b 5.739
_cell_length_c 5.739
_cell_angle_alpha 54.33
_cell_angle_beta 54.33
_cell_angle_gamma 54.33
loop_
_space_group_symop_operation_xyz
'x,y,z'
loop_
_atom_site_label
_atom_site_type_symbol
_atom_site_fract_x
_atom_site_fract_y
_atom_site_fract_z
Tc1 Tc 0.153 0.153 0.153
Tc2 Tc 0.847 0.847 0.847
Pd1 Pd 0.357 0.357 0.357
Pd2 Pd 0.643 0.643 0.643
O1 O 0.052 0.441 0.780
O2 O 0.220 0.948 0.559
O3 O 0.441 0.780 0.052
O4 O 0.559 0.220 0.948
O5 O 0.780 0.052 0.441
O6 O 0.948 0.559 0.220
# DFT total energy (eV per atom): -6.87
# Crystal system: trigonal

***

# 8
# Tc2Pd2O5 | the Open Quantum Materials Database | PBE-GGA | relaxed
data_Tc2Pd2O5
_space_group_name_H-M_alt 'P 1'
_space_group_IT_number 1
_cell_length_a 3.818
_cell_length_b 3.818
_cell_length_c 7.479
_cell_angle_alpha 90.00
_cell_angle_beta 90.00
_cell_angle_gamma 90.00
loop_
_space_group_symop_operation_xyz
'x,y,z'
loop_
_atom_site_label
_atom_site_type_symbol
_atom_site_fract_x
_atom_site_fract_y
_atom_site_fract_z
Tc1 Tc 0.000 0.000 0.233
Tc2 Tc 0.000 0.000 0.767
Pd1 Pd 0.500 0.500 0.000
Pd2 Pd 0.500 0.500 0.500
O1 O 0.000 0.000 0.500
O2 O 0.000 0.500 0.230
O3 O 0.000 0.500 0.770
O4 O 0.500 0.000 0.230
O5 O 0.500 0.000 0.770
# Crystal system: tetragonal
# ΔE to the lowest computed polymorph (eV/atom): 0.000

***

# 9
# TcPdO | the Open Quantum Materials Database | PBE-GGA | relaxed
data_TcPdO
_space_group_name_H-M_alt 'P 1'
_space_group_IT_number 1
_cell_length_a 3.538
_cell_length_b 3.538
_cell_length_c 11.436
_cell_angle_alpha 90.00
_cell_angle_beta 90.00
_cell_angle_gamma 120.00
loop_
_space_group_symop_operation_xyz
'x,y,z'
loop_
_atom_site_label
_atom_site_type_symbol
_atom_site_fract_x
_atom_site_fract_y
_atom_site_fract_z
Tc1 Tc 0.000 0.000 0.000
Tc2 Tc 0.000 0.000 0.276
Tc3 Tc 0.000 0.000 0.724
Pd1 Pd 0.333 0.667 0.500
Pd2 Pd 0.667 0.333 0.132
Pd3 Pd 0.667 0.333 0.868
O1 O 0.333 0.667 0.319
O2 O 0.333 0.667 0.681
O3 O 0.667 0.333 0.500
# DFT total energy (eV per atom): -6.58
# Crystal system: hexagonal

***

# 10
# TcPdO3 | the Open Quantum Materials Database | PBE-GGA | relaxed
data_TcPdO3
_space_group_name_H-M_alt 'P 1'
_space_group_IT_number 1
_cell_length_a 5.541
_cell_length_b 7.502
_cell_length_c 5.218
_cell_angle_alpha 90.00
_cell_angle_beta 90.00
_cell_angle_gamma 90.00
loop_
_space_group_symop_operation_xyz
'x,y,z'
loop_
_atom_site_label
_atom_site_type_symbol
_atom_site_fract_x
_atom_site_fract_y
_atom_site_fract_z
Tc1 Tc 0.000 0.000 0.000
Tc2 Tc 0.000 0.500 0.000
Tc3 Tc 0.500 0.000 0.500
Tc4 Tc 0.500 0.500 0.500
Pd1 Pd 0.000 0.250 0.489
Pd2 Pd 0.000 0.750 0.511
Pd3 Pd 0.500 0.250 0.011
Pd4 Pd 0.500 0.750 0.989
O1 O 0.026 0.250 0.920
O2 O 0.184 0.034 0.327
O3 O 0.184 0.466 0.327
O4 O 0.316 0.534 0.827
O5 O 0.316 0.966 0.827
O6 O 0.474 0.750 0.420
O7 O 0.526 0.250 0.580
O8 O 0.684 0.034 0.173
O9 O 0.684 0.466 0.173
O10 O 0.816 0.534 0.673
O11 O 0.816 0.966 0.673
O12 O 0.974 0.750 0.080
# DFT total energy (eV per atom): -6.81
# Crystal system: orthorhombic

***

> Which formula does entry 6 have?

TcPdO3